Here is Tb3Er2Cd3 after structural relaxation from Alexandria. Energies are from PBE-GGA.

Formation energy from the elements   -0.24 eV per atom
Uncorrected energy   -0.254 Ry per atom
V   220.8 Å³ per cell

Cell: 3.7168 5.3597 11.5513 Å, 103.41 99.26 90.00°
Closest atoms and distances in Å follow each position.
Fractional positions:
Tb1 0.5000 0.0000 0.0000  8 Cd 3.21-3.26
Tb2 0.3762 0.3762 0.7524  6 Cd 3.26-3.31, 2 Er 3.63
Tb3 0.6238 0.6238 0.2476  6 Cd 3.26-3.31, 2 Er 3.63
Er1 0.7340 0.2340 0.4681  2 Cd 3.17, 4 Er 3.34
Er2 0.2660 0.7660 0.5319  2 Cd 3.17, 4 Er 3.34
Cd1 0.8818 0.8818 0.7636  2 Er 3.17, 6 Tb 3.21-3.26
Cd2 0.1182 0.1182 0.2364  2 Er 3.17, 6 Tb 3.21-3.26
Cd3 0.0000 0.5000 0.0000  8 Tb 3.26-3.31